A plane-wave DFT calculation with GGA+U was carried out for a relaxed Ba3Nb2NiO9 crystal.

Cell: 5.8429 5.8429 7.1770 Å, 90.00 90.00 120.00°
Space group P-3m1 (No. 164)
Unique sites:
Ba: 0.0000 0.0000 0.0000 (multiplicity 1)
Ba: 0.3333 0.6667 0.3344 (multiplicity 2)
Nb: 0.3333 0.6667 0.8208 (multiplicity 2)
Ni: 0.0000 0.0000 0.5000 (multiplicity 1)
O: 0.0000 0.5000 0.0000 (multiplicity 3)
O: 0.1709 0.3417 0.6734 (multiplicity 6)

Summary:
The total energy is -112.5 eV/cell. The total moment is 2.03 Bohr magnetons per cell. Its density of states at the Fermi level is 0.00 states/eV per cell. As for the volume: 14.15 Å³/atom. As for the crystal system: trigonal.